No. 1
Density functional theory data (GGA-PBE) for a relaxed AsPd4C2S crystal.

Cell and atoms, written as POSCAR:
```
AsPd4C2S
1.0
3.2968 0.0000 0.0000
-1.6484 2.8552 0.0000
0.0000 0.0000 11.9328
As Pd C S
1 4 2 1
direct
0.0000 0.0000 0.0000
0.0000 0.0000 0.3503
0.0000 0.0000 0.6497
0.6667 0.3333 0.1652
0.6667 0.3333 0.8348
0.3333 0.6667 0.2606
0.3333 0.6667 0.7394
0.6667 0.3333 0.5000
```

Results
Raw total energy ... -5.362 eV per atom
Space-group type ... No. 187



No. 2
Density functional theory data (GGA-PBE) for a relaxed KZr2PdF11 crystal.

Cell and atoms, written as POSCAR:
```
KZr2PdF11
1.0
5.4585 0.0000 0.0000
1.1601 5.3465 0.0000
2.0523 1.6581 7.0746
K Zr Pd F
1 2 1 11
direct
0.0000 0.0000 0.0000
0.4534 0.4543 0.2504
0.5466 0.5457 0.7496
0.0000 0.0000 0.5000
0.1171 0.6866 0.3479
0.2110 0.2122 0.2440
0.3070 0.2957 0.8418
0.3141 0.8812 0.6519
0.3301 0.6624 0.0000
0.5000 0.5000 0.5000
0.6699 0.3376 0.0000
0.6859 0.1188 0.3481
0.6930 0.7043 0.1582
0.7890 0.7878 0.7560
0.8829 0.3134 0.6521
```

Results
Raw total energy ... -5.911 eV per atom
Space-group type ... No. 2



No. 3
Density functional theory data (GGA-PBE) for a relaxed Lu2CoW crystal.

Cell and atoms, written as POSCAR:
```
Lu2CoW
1.0
6.6664 0.0000 0.0000
0.0000 6.6664 0.0000
0.0000 0.0000 6.6664
Lu Co W
8 4 4
direct
0.0000 0.0000 0.0000
0.0000 0.5000 0.5000
0.2500 0.2500 0.2500
0.2500 0.7500 0.7500
0.5000 0.0000 0.5000
0.5000 0.5000 0.0000
0.7500 0.2500 0.7500
0.7500 0.7500 0.2500
0.2500 0.2500 0.7500
0.2500 0.7500 0.2500
0.7500 0.2500 0.2500
0.7500 0.7500 0.7500
0.0000 0.0000 0.5000
0.0000 0.5000 0.0000
0.5000 0.0000 0.0000
0.5000 0.5000 0.5000
```

Results
Raw total energy ... -6.755 eV per atom
Space-group type ... No. 216
Formation energy from the elements ... 50.47 kJ per mole of atoms